(1)
# Th4CoPd PBE relaxed
# density	11863	kg/m³
# total DFT energy (no corrections)	-88.13	eV per cell
# E_form	-0.348	eV per atom
data_Th4CoPd
_cell_length_a 7.175
_cell_length_b 7.175
_cell_length_c 5.947
_cell_angle_alpha 90.00
_cell_angle_beta 90.00
_cell_angle_gamma 90.00
_symmetry_space_group_name_H-M 'P 4/m c c'
_symmetry_Int_Tables_number 124
_symmetry_space_group_name_Hall '-P 4 2c'
loop_
_atom_site_label
_atom_site_type_symbol
_atom_site_fract_x
_atom_site_fract_y
_atom_site_fract_z
_atom_site_occupancy
Th1 Th 0.156 0.323 0.000 1
Co1 Co 0.000 0.000 0.250 1
Pd1 Pd 0.500 0.500 0.250 1

***

(2)
# Th2CoPd PBE relaxed
# density	10773	kg/m³
# total DFT energy (no corrections)	-87.07	eV per cell
# E_form	-0.471	eV per atom
data_Th2CoPd
_cell_length_a 4.0232
_cell_length_b 4.0232
_cell_length_c 20.7642
_cell_angle_alpha 90.00
_cell_angle_beta 90.00
_cell_angle_gamma 120.00
_symmetry_space_group_name_H-M 'R 3 m'
_symmetry_Int_Tables_number 160
_symmetry_space_group_name_Hall 'R 3 -2"'
loop_
_atom_site_label
_atom_site_type_symbol
_atom_site_fract_x
_atom_site_fract_y
_atom_site_fract_z
_atom_site_occupancy
Th1 Th 0.0000 0.0000 0.0000 1
Th2 Th 0.0000 0.0000 0.1872 1
Co1 Co 0.0000 0.0000 0.5928 1
Pd1 Pd 0.0000 0.0000 0.4287 1

***

(3)
# Th4Co2Pd PBE relaxed
# density	11434	kg/m³
# total DFT energy (no corrections)	-206.82	eV per cell
# E_form	-0.374	eV per atom
data_Th4Co2Pd
_cell_length_a 8.429
_cell_length_b 14.030
_cell_length_c 7.042
_cell_angle_alpha 90.00
_cell_angle_beta 126.49
_cell_angle_gamma 90.00
_symmetry_space_group_name_H-M 'C 1 c 1'
_symmetry_Int_Tables_number 9
_symmetry_space_group_name_Hall 'C -2yc'
loop_
_atom_site_label
_atom_site_type_symbol
_atom_site_fract_x
_atom_site_fract_y
_atom_site_fract_z
_atom_site_occupancy
Th1 Th 0.000 0.020 0.000 1
Th2 Th 0.205 0.284 0.147 1
Th3 Th 0.381 0.273 0.795 1
Th4 Th 0.481 0.065 0.122 1
Co1 Co 0.070 0.165 0.761 1
Co2 Co 0.173 0.405 0.442 1
Pd1 Pd 0.297 0.117 0.474 1